Entry from Alexandria: a PBEsol-optimized structure of ZnRhW2 (SCAN).

Structure (extended XYZ):
```
4
Lattice="-0.0094 -2.7044 0.2632 3.8587 -0.0196 -0.0642 0.0947 0.5377 5.5288" Properties=species:S:1:pos:R:3 pbc="T T T"
Rh 1.9941 -0.9677 4.1533
W 1.9493 -1.2221 1.5373
W 0.0945 0.5361 5.5123
Zn 0.0483 0.2741 2.8181
```

Computed properties:
**Formation energy**: 81 meV/atom
**Energy**: -46.58 eV/atom

Entry from Alexandria: a PBEsol-optimized structure of ZnRhW2 (SCAN).

Structure (extended XYZ):
```
4
Lattice="-1.6900 -2.4531 1.0983 2.0934 -2.5693 -2.5173 2.7802 1.8632 3.8506" Properties=species:S:1:pos:R:3 pbc="T T T"
Zn -0.8450 -1.2265 0.5492
W 1.6846 -2.8334 0.8526
W 1.4990 -0.3257 1.5790
Rh 1.0467 -1.2846 -1.2587
```

Computed properties:
**Formation energy**: 31 meV/atom
**Energy**: -46.63 eV/atom

Entry from Alexandria: a PBEsol-optimized structure of ZnRhW2 (SCAN).

Structure (extended XYZ):
```
4
Lattice="-2.0500 -1.2753 -2.1414 1.0155 -3.8098 1.2967 -3.1757 0.1565 2.9469" Properties=species:S:1:pos:R:3 pbc="T T T"
Rh -1.0801 -1.8266 2.1218
Zn -2.6128 -0.5594 0.4027
W 0.0000 0.0000 0.0000
W -0.5172 -2.5425 -0.4224
```

Computed properties:
**Formation energy**: 100 meV/atom
**Energy**: -46.57 eV/atom